Entry from the Alexandria database: a geometry-optimized CaTl2Ag structure (PBE).

Unit cell a=4.787 b=4.791 c=4.526 alpha=90.00 beta=90.00 gamma=90.00
Positions (direct):
1 Ca 0.000 0.500 0.500
2 Ag 0.500 0.000 0.500
3 Tl 0.500 0.500 0.000
4 Tl 0.000 0.000 0.000

Properties
Space-group type = P4/mmm, No. 123
Uncorrected energy = -10.29 eV per formula unit

=====

Entry from the Alexandria database: a geometry-optimized Cr2OsRu structure (PBE).

Unit cell a=4.232 b=4.232 c=4.232 alpha=60.00 beta=60.00 gamma=60.00
Positions (direct):
1 Ru 0.000 0.000 0.000
2 Os 0.500 0.500 0.500
3 Cr 0.250 0.250 0.250
4 Cr 0.750 0.750 0.750

Properties
Polymorph energy (0 for the lowest one) = 0.081 eV per atom
Space-group type = Fm-3m, No. 225
Uncorrected energy = -39.05 eV per formula unit

=====

Entry from the Alexandria database: a geometry-optimized TcTe3C structure (PBE).

Unit cell a=5.206 b=5.206 c=5.206 alpha=90.00 beta=90.00 gamma=90.00
Positions (direct):
1 Tc 0.000 0.000 0.000
2 C 0.500 0.500 0.500
3 Te 0.500 0.000 0.000
4 Te 0.000 0.000 0.500
5 Te 0.000 0.500 0.000

Properties
Polymorph energy (0 for the lowest one) = 0.416 eV per atom
Space-group type = Pm-3m, No. 221
Energy relative to the elements, uncorrected = 859.1 kJ/mol of formula units
Uncorrected energy = -20.11 eV per formula unit

=====

What did the first record say?
Entry from the Alexandria database: a geometry-optimized CaTl2Ag structure (PBE).

Unit cell a=4.787 b=4.791 c=4.526 alpha=90.00 beta=90.00 gamma=90.00
Positions (direct):
1 Ca 0.000 0.500 0.500
2 Ag 0.500 0.000 0.500
3 Tl 0.500 0.500 0.000
4 Tl 0.000 0.000 0.000

Properties
Space-group type = P4/mmm, No. 123
Uncorrected energy = -10.29 eV per formula unit

=====

Look up the uncorrected energy of the second one.
-39.05 eV per formula unit

=====

Repeat the third record exactly.
Entry from the Alexandria database: a geometry-optimized TcTe3C structure (PBE).

Unit cell a=5.206 b=5.206 c=5.206 alpha=90.00 beta=90.00 gamma=90.00
Positions (direct):
1 Tc 0.000 0.000 0.000
2 C 0.500 0.500 0.500
3 Te 0.500 0.000 0.000
4 Te 0.000 0.000 0.500
5 Te 0.000 0.500 0.000

Properties
Polymorph energy (0 for the lowest one) = 0.416 eV per atom
Space-group type = Pm-3m, No. 221
Energy relative to the elements, uncorrected = 859.1 kJ/mol of formula units
Uncorrected energy = -20.11 eV per formula unit

=====

uncorrected energy of number 1 (CaTl2Ag)?
-10.29 eV per formula unit